# ScWI2O GGA+U optimized geometry
data_ScWI2O
_cell_length_a 5.995
_cell_length_b 5.995
_cell_length_c 3.900
_cell_angle_alpha 90.00
_cell_angle_beta 90.00
_cell_angle_gamma 90.00
_space_group_name_H-M_alt 'P 1'
_space_group_IT_number 1
_space_group_name_Hall 'P 1'
loop_
_atom_site_label
_atom_site_fract_x
_atom_site_fract_y
_atom_site_fract_z
_atom_site_occupancy
O1 0.000 0.000 0.500 1
W1 0.000 0.000 0.000 1
Sc1 0.500 0.500 0.500 1
I1 0.000 0.500 0.000 1
I2 0.500 0.000 0.000 1
# * total energy: -0.336 Ry per atom
# * calculated volume: 28.039 Å³ per atom
# * space group: P4/mmm, No. 123
# * total magnetic moment: 4.68 μB/f.u.